1.
Compound: AgAs2Pd
Source: the Open Quantum Materials Database
Functional: GGA-PBE
Structure: optimized geometry

The structure in POSCAR format:
```
AgAs2Pd
1.0
0.000 3.283 3.283
3.283 0.000 3.283
3.283 3.283 0.000
Ag As Pd
1 2 1
Direct
0.500 0.500 0.500 Ag
0.000 0.000 0.000 As
0.250 0.250 0.250 As
0.750 0.750 0.750 Pd
```

Output
DFT total energy = -4.147 eV/atom

2.
Compound: Ag3AsPd
Source: the Open Quantum Materials Database
Functional: GGA-PBE
Structure: optimized geometry

The structure in POSCAR format:
```
Ag3AsPd
1.0
-2.926 0.005 -1.159
-1.403 -12.323 3.484
-2.846 -10.340 7.137
Ag As Pd
6 2 2
Direct
0.000 0.946 0.946 Ag
0.000 0.728 0.728 Ag
0.500 0.451 0.451 Ag
0.000 0.275 0.275 Ag
0.500 0.552 0.552 Ag
0.000 0.057 0.057 Ag
0.000 0.634 0.634 As
0.000 0.369 0.369 As
0.500 0.163 0.163 Pd
0.500 0.841 0.841 Pd
```

Output
DFT total energy = -3.462 eV/atom

3.
Compound: AgAsPd2
Source: the Open Quantum Materials Database
Functional: GGA-PBE
Structure: optimized geometry

The structure in POSCAR format:
```
AgAsPd2
1.0
0.000 3.190 3.190
3.190 0.000 3.190
3.190 3.190 0.000
Pd As Ag
2 1 1
Direct
0.750 0.750 0.750 Pd
0.000 0.000 0.000 Pd
0.500 0.500 0.500 As
0.250 0.250 0.250 Ag
```

Output
DFT total energy = -4.521 eV/atom

4.
Compound: Ag6As2Pd
Source: the Open Quantum Materials Database
Functional: GGA-PBE
Structure: optimized geometry

The structure in POSCAR format:
```
Ag6As2Pd
1.0
4.762 -2.046 0.000
4.762 2.046 0.000
-3.139 0.000 8.070
Ag As Pd
6 2 1
Direct
0.831 0.831 0.451 Ag
0.511 0.511 0.668 Ag
0.175 0.175 0.887 Ag
0.489 0.489 0.332 Ag
0.169 0.169 0.549 Ag
0.825 0.825 0.113 Ag
0.141 0.141 0.199 As
0.859 0.859 0.801 As
0.500 0.500 0.000 Pd
```

Output
DFT total energy = -3.474 eV/atom

5.
Compound: SrAgAs2Pd
Source: the Open Quantum Materials Database
Functional: GGA-PBE
Structure: optimized geometry

The structure in POSCAR format:
```
SrAgAs2Pd
1.0
-4.198 -0.229 -1.577
0.540 -4.385 -0.799
-3.522 -2.199 9.695
Pd As Ag Sr
2 4 2 2
Direct
0.500 0.000 0.385 Pd
0.000 0.500 0.615 Pd
0.500 0.000 0.148 As
0.500 0.500 0.500 As
0.000 0.000 0.500 As
0.000 0.500 0.852 As
0.000 0.000 0.000 Ag
0.500 0.500 0.000 Ag
0.000 0.500 0.257 Sr
0.500 0.000 0.743 Sr
```

Output
DFT total energy = -4.457 eV/atom

6.
Compound: PmAgAs
Source: the Open Quantum Materials Database
Functional: GGA-PBE
Structure: optimized geometry

The structure in POSCAR format:
```
PmAgAs
1.0
3.473 -0.579 3.121
2.839 3.601 1.054
-0.270 2.049 4.227
Ag Pm As
1 1 1
Direct
0.000 0.000 0.000 Ag
0.750 0.750 0.750 Pm
0.250 0.250 0.250 As
```

Output
energy above the most stable polymorph in this dataset = 0 meV per atom
DFT total energy = -4.545 eV/atom
magnetization = 0.01 Bohr magnetons per cell

7.
Compound: PmAgAs
Source: the Open Quantum Materials Database
Functional: GGA-PBE
Structure: optimized geometry

The structure in POSCAR format:
```
PmAgAs
1.0
-4.046 -1.949 1.871
-3.492 -1.659 -2.954
-0.795 -4.785 -0.379
As Ag Pm
1 1 1
Direct
0.750 0.750 0.750 As
0.250 0.250 0.250 Ag
0.000 0.000 0.000 Pm
```

Output
energy above the most stable polymorph in this dataset = 42 meV per atom
DFT total energy = -4.503 eV/atom
magnetization = 0.00 Bohr magnetons per cell

8.
Compound: PmAgAs2
Source: the Open Quantum Materials Database
Functional: GGA-PBE
Structure: optimized geometry

The structure in POSCAR format:
```
PmAgAs2
1.0
4.049 0.000 0.000
0.000 4.049 0.000
0.000 0.000 10.509
Pm As Ag
2 4 2
Direct
0.000 0.500 0.273 Pm
0.500 0.000 0.727 Pm
0.500 0.000 0.181 As
0.000 0.000 0.500 As
0.500 0.500 0.500 As
0.000 0.500 0.819 As
0.500 0.500 0.000 Ag
0.000 0.000 0.000 Ag
```

Output
DFT total energy = -4.996 eV/atom
magnetization = 0.00 Bohr magnetons per cell

9.
Compound: TbPrAg2As4
Source: the Open Quantum Materials Database
Functional: GGA-PBE
Structure: optimized geometry

The structure in POSCAR format:
```
TbPrAg2As4
1.0
-0.974 -0.500 3.898
-3.789 -0.944 -1.068
2.682 -10.059 -0.621
Tb As Ag Pr
1 4 2 1
Direct
0.500 0.500 0.230 Tb
0.500 0.500 0.678 As
0.500 0.000 0.008 As
0.000 0.000 0.312 As
0.000 0.500 0.008 As
0.000 0.500 0.495 Ag
0.500 0.000 0.495 Ag
0.000 0.000 0.774 Pr
```

Output
DFT total energy = -4.971 eV/atom
magnetization = 0.00 Bohr magnetons per cell

10.
Compound: RbAgAs
Source: the Open Quantum Materials Database
Functional: GGA-PBE
Structure: optimized geometry

The structure in POSCAR format:
```
RbAgAs
1.0
-2.043 4.090 2.338
1.052 4.726 -1.710
-3.643 2.749 -2.354
Ag As Rb
1 1 1
Direct
0.250 0.250 0.250 Ag
0.000 0.000 0.000 As
0.750 0.750 0.750 Rb
```

Output
energy above the most stable polymorph in this dataset = 34 meV per atom
DFT total energy = -2.498 eV/atom

11.
Compound: Rb3AgAs2
Source: the Open Quantum Materials Database
Functional: GGA-PBE
Structure: optimized geometry

The structure in POSCAR format:
```
Rb3AgAs2
1.0
-1.259 5.599 -4.180
-4.244 2.416 5.153
7.030 3.752 3.528
Rb Ag As
6 2 4
Direct
0.100 0.900 0.250 Rb
0.264 0.392 0.453 Rb
0.608 0.736 0.047 Rb
0.736 0.608 0.547 Rb
0.392 0.264 0.953 Rb
0.900 0.100 0.750 Rb
0.743 0.257 0.250 Ag
0.257 0.743 0.750 Ag
0.422 0.013 0.627 As
0.013 0.422 0.127 As
0.578 0.987 0.373 As
0.987 0.578 0.873 As
```

Output
DFT total energy = -2.784 eV/atom

12.
Compound: RbAgAs
Source: the Open Quantum Materials Database
Functional: GGA-PBE
Structure: optimized geometry

The structure in POSCAR format:
```
RbAgAs
1.0
-3.494 -3.650 -0.049
-3.405 -0.288 3.723
-4.838 1.145 -0.907
Ag As Rb
1 1 1
Direct
0.000 0.000 0.000 Ag
0.250 0.250 0.250 As
0.750 0.750 0.750 Rb
```

Output
energy above the most stable polymorph in this dataset = 0 meV per atom
DFT total energy = -2.532 eV/atom

13.
Compound: RbAgAs
Source: the Open Quantum Materials Database
Functional: GGA-PBE
Structure: optimized geometry

The structure in POSCAR format:
```
RbAgAs
1.0
-3.114 0.292 4.324
-4.462 -2.914 0.277
-0.285 -4.131 3.367
Ag As Rb
1 1 1
Direct
0.250 0.250 0.250 Ag
0.750 0.750 0.750 As
0.000 0.000 0.000 Rb
```

Output
energy above the most stable polymorph in this dataset = 539 meV per atom
DFT total energy = -1.993 eV/atom

14.
Compound: RbAg4As3
Source: the Open Quantum Materials Database
Functional: GGA-PBE
Structure: optimized geometry

The structure in POSCAR format:
```
RbAg4As3
1.0
-3.815 -0.728 -1.939
1.778 -3.234 -2.285
-2.408 -6.356 7.124
As Ag Rb
3 4 1
Direct
0.500 0.500 0.685 As
0.500 0.500 0.315 As
0.000 0.000 0.000 As
0.500 0.000 0.167 Ag
0.000 0.500 0.167 Ag
0.500 0.000 0.833 Ag
0.000 0.500 0.833 Ag
0.000 0.000 0.500 Rb
```

Output
DFT total energy = -3.252 eV/atom

15.
Compound: Rb2AgAsS4
Source: the Open Quantum Materials Database
Functional: GGA-PBE
Structure: optimized geometry

The structure in POSCAR format:
```
Rb2AgAsS4
1.0
0.000 6.653 11.464
3.249 0.000 11.464
3.249 6.653 0.000
Rb S Ag As
4 8 2 2
Direct
0.318 0.318 0.682 Rb
0.932 0.932 0.568 Rb
0.682 0.682 0.318 Rb
0.568 0.568 0.932 Rb
0.700 0.909 0.990 S
0.401 0.990 0.909 S
0.260 0.849 0.550 S
0.849 0.260 0.341 S
0.990 0.401 0.700 S
0.909 0.700 0.401 S
0.550 0.341 0.260 S
0.341 0.550 0.849 S
0.250 0.250 0.250 Ag
0.000 0.000 0.000 Ag
0.750 0.750 0.750 As
0.500 0.500 0.500 As
```

Output
energy above the most stable polymorph in this dataset = 7 meV per atom
DFT total energy = -3.860 eV/atom

16.
Compound: Rb2AgAsS4
Source: the Open Quantum Materials Database
Functional: GGA-PBE
Structure: optimized geometry

The structure in POSCAR format:
```
Rb2AgAsS4
1.0
6.844 0.000 0.000
-2.523 6.599 0.000
-3.410 -2.477 10.372
As Rb S Ag
2 4 8 2
Direct
0.865 0.641 0.734 As
0.135 0.359 0.266 As
0.443 0.977 0.689 Rb
0.845 0.729 0.098 Rb
0.155 0.271 0.902 Rb
0.557 0.023 0.311 Rb
0.840 0.225 0.089 S
0.443 0.435 0.219 S
0.157 0.647 0.377 S
0.884 0.872 0.615 S
0.557 0.565 0.781 S
0.160 0.775 0.911 S
0.116 0.128 0.385 S
0.843 0.353 0.623 S
0.792 0.601 0.414 Ag
0.208 0.399 0.586 Ag
```

Output
energy above the most stable polymorph in this dataset = 0 meV per atom
DFT total energy = -3.867 eV/atom

17.
Compound: RbAg2As3Se6
Source: the Open Quantum Materials Database
Functional: GGA-PBE
Structure: optimized geometry

The structure in POSCAR format:
```
RbAg2As3Se6
1.0
-5.349 8.158 -2.453
-4.598 -4.331 -4.376
-10.388 -2.866 13.752
Se As Ag Rb
24 12 8 4
Direct
0.869 0.805 0.734 Se
0.223 0.781 0.812 Se
0.631 0.305 0.766 Se
0.342 0.248 0.892 Se
0.562 0.297 0.547 Se
0.784 0.810 0.520 Se
0.438 0.703 0.453 Se
0.158 0.748 0.608 Se
0.062 0.203 0.047 Se
0.716 0.310 0.980 Se
0.277 0.281 0.688 Se
0.284 0.690 0.020 Se
0.369 0.695 0.234 Se
0.131 0.195 0.266 Se
0.777 0.219 0.188 Se
0.898 0.302 0.630 Se
0.602 0.802 0.870 Se
0.102 0.698 0.370 Se
0.938 0.797 0.953 Se
0.723 0.719 0.312 Se
0.842 0.252 0.392 Se
0.398 0.198 0.130 Se
0.658 0.752 0.108 Se
0.216 0.190 0.480 Se
0.132 0.615 0.919 As
0.632 0.885 0.419 As
0.429 0.128 0.776 As
0.368 0.115 0.581 As
0.194 0.351 0.147 As
0.571 0.872 0.224 As
0.694 0.149 0.647 As
0.929 0.372 0.276 As
0.071 0.628 0.724 As
0.806 0.649 0.853 As
0.306 0.851 0.353 As
0.868 0.385 0.081 As
0.849 0.487 0.500 Ag
0.349 0.013 0.000 Ag
0.151 0.513 0.500 Ag
0.532 0.463 0.081 Ag
0.468 0.537 0.919 Ag
0.968 0.963 0.419 Ag
0.032 0.037 0.581 Ag
0.651 0.987 0.000 Ag
0.493 0.325 0.332 Rb
0.507 0.675 0.668 Rb
0.007 0.825 0.168 Rb
0.993 0.175 0.832 Rb
```

Output
DFT total energy = -3.757 eV/atom

18.
Compound: Re2AgAs
Source: the Open Quantum Materials Database
Functional: GGA-PBE
Structure: optimized geometry

The structure in POSCAR format:
```
Re2AgAs
1.0
0.237 0.075 4.481
-1.714 3.464 2.280
-3.718 -0.547 2.453
Ag Re As
1 2 1
Direct
0.250 0.250 0.250 Ag
0.750 0.750 0.750 Re
0.000 0.000 0.000 Re
0.500 0.500 0.500 As
```

Output
DFT total energy = -7.322 eV/atom
magnetization = 0.01 Bohr magnetons per cell

19.
Compound: Re3AgAs5
Source: the Open Quantum Materials Database
Functional: GGA-PBE
Structure: optimized geometry

The structure in POSCAR format:
```
Re3AgAs5
1.0
-3.943 -3.326 1.306
1.725 0.237 -5.028
5.048 -5.405 1.477
As Re Ag
5 3 1
Direct
0.000 0.000 0.500 As
0.667 0.333 0.216 As
0.333 0.667 0.216 As
0.333 0.667 0.784 As
0.667 0.333 0.784 As
0.500 0.500 0.500 Re
0.000 0.500 0.500 Re
0.500 0.000 0.500 Re
0.000 0.000 0.000 Ag
```

Output
DFT total energy = -6.596 eV/atom
magnetization = 0.01 Bohr magnetons per cell

20.
Compound: AgAsS2
Source: the Open Quantum Materials Database
Functional: GGA-PBE
Structure: optimized geometry

The structure in POSCAR format:
```
AgAsS2
1.0
7.705 -3.941 0.000
7.705 3.941 0.000
-3.504 0.000 17.148
Ag S As
12 24 12
Direct
0.533 0.758 0.417 Ag
0.821 0.048 0.421 Ag
0.179 0.952 0.579 Ag
0.048 0.821 0.921 Ag
0.875 0.125 0.750 Ag
0.467 0.242 0.583 Ag
0.635 0.365 0.250 Ag
0.125 0.875 0.250 Ag
0.242 0.467 0.083 Ag
0.365 0.635 0.750 Ag
0.952 0.179 0.079 Ag
0.758 0.533 0.917 Ag
0.225 0.360 0.924 S
0.979 0.308 0.283 S
0.025 0.840 0.094 S
0.021 0.692 0.717 S
0.253 0.176 0.106 S
0.640 0.775 0.576 S
0.975 0.160 0.906 S
0.202 0.544 0.278 S
0.456 0.798 0.222 S
0.308 0.979 0.783 S
0.360 0.225 0.424 S
0.403 0.591 0.602 S
0.692 0.021 0.217 S
0.160 0.975 0.406 S
0.597 0.409 0.398 S
0.591 0.403 0.102 S
0.798 0.456 0.722 S
0.409 0.597 0.898 S
0.544 0.202 0.778 S
0.824 0.747 0.394 S
0.775 0.640 0.076 S
0.747 0.824 0.894 S
0.176 0.253 0.606 S
0.840 0.025 0.594 S
0.114 0.375 0.731 As
0.475 0.711 0.088 As
0.711 0.475 0.588 As
0.711 0.944 0.084 As
0.289 0.525 0.412 As
0.056 0.289 0.416 As
0.289 0.056 0.916 As
0.525 0.289 0.912 As
0.625 0.886 0.769 As
0.886 0.625 0.269 As
0.944 0.711 0.584 As
0.375 0.114 0.231 As
```

Output
DFT total energy = -4.041 eV/atom